The following is a PBE calculation of a geometry-optimized Ac2SnGe4Pt3 structure, from Alexandria.

Summary:
Space-group type: No. 115
Energy of formation (eV/atom): -0.82

abc: 4.523 4.523 10.619
angles: 90.00 90.00 90.00
Fractional positions:
Ac1 0.500 0.000 0.238
Ac2 0.000 0.500 0.762
Sn1 0.500 0.500 0.500
Ge1 0.500 0.500 0.000
Ge2 0.000 0.000 0.000
Ge3 0.500 0.000 0.647
Ge4 0.000 0.500 0.353
Pt1 0.000 0.000 0.500
Pt2 0.500 0.000 0.883
Pt3 0.000 0.500 0.117

---

The following is a PBE calculation of a geometry-optimized TaNb3P structure, from Alexandria.

Summary:
Offset from the most stable computed form (meV/atom): 0
Space-group type: No. 221
Energy of formation (eV/atom): 0.25

abc: 4.603 4.603 4.603
angles: 90.00 90.00 90.00
Fractional positions:
P1 0.000 0.000 0.000
Nb1 0.000 0.500 0.000
Nb2 0.000 0.000 0.500
Nb3 0.500 0.000 0.000
Ta1 0.500 0.500 0.500

---

Q: Which formula does entry 2 have?
A: TaNb3P

---

Q: Which formula does entry 1 have?
A: Ac2SnGe4Pt3

---

Copy entry 1 word for word.
The following is a PBE calculation of a geometry-optimized Ac2SnGe4Pt3 structure, from Alexandria.

Summary:
Space-group type: No. 115
Energy of formation (eV/atom): -0.82

abc: 4.523 4.523 10.619
angles: 90.00 90.00 90.00
Fractional positions:
Ac1 0.500 0.000 0.238
Ac2 0.000 0.500 0.762
Sn1 0.500 0.500 0.500
Ge1 0.500 0.500 0.000
Ge2 0.000 0.000 0.000
Ge3 0.500 0.000 0.647
Ge4 0.000 0.500 0.353
Pt1 0.000 0.000 0.500
Pt2 0.500 0.000 0.883
Pt3 0.000 0.500 0.117